Compound: Dy3Mg
Source: Alexandria via LeMat-Bulk
Functional: PBE
Structure: relaxed

Unit cell a=4.899 b=4.899 c=4.899 alpha=90.00 beta=90.00 gamma=90.00
Atoms (fractional coordinates):
Dy (0.000, 0.500, 0.500)
Dy (0.500, 0.500, 0.000)
Dy (0.500, 0.000, 0.500)
Mg (0.000, 0.000, 0.000)

Compound: DyMg5
Source: Alexandria via LeMat-Bulk
Functional: PBE
Structure: relaxed

Unit cell a=5.097 b=5.097 c=6.586 alpha=89.99 beta=90.00 gamma=120.01
Atoms (fractional coordinates):
Mg (0.361, 0.722, 0.141)
Mg (0.361, 0.722, 0.639)
Mg (0.694, 0.389, 0.389)
Mg (0.028, 0.056, 0.637)
Mg (0.028, 0.055, 0.139)
Dy (0.694, 0.389, 0.889)

Compound: Dy2Mg
Source: Alexandria via LeMat-Bulk
Functional: PBE
Structure: relaxed

For the polymorph energy (0 for the lowest one), the calculation gives 214 meV per atom.

Unit cell a=3.702 b=3.702 c=13.392 alpha=97.95 beta=97.95 gamma=90.00
Atoms (fractional coordinates):
Dy (0.180, 0.680, 0.359)
Dy (0.430, 0.430, 0.859)
Dy (0.570, 0.570, 0.141)
Dy (0.320, 0.820, 0.641)
Mg (0.000, 0.000, 0.000)
Mg (0.750, 0.250, 0.500)

| no. | E (eV/atom) | ΔH_f (0 K) (eV per atom) |
| --- | --- | --- |
| 1 | -3.825 | 0.025 |
| 2 | -2.136 | -0.041 |
| 3 | -3.449 | 0.150 |